No. 1
Entry from Alexandria via LeMat-Bulk: an optimized crystal structure of CsRbTl5 (GGA-PBE).

a = 7.108 Å, b = 10.755 Å, c = 14.408 Å
α = 90.00°, β = 90.00°, γ = 90.00°
Positions (direct):
Tl  0.750  0.895  0.531
Tl  0.250  0.424  0.377
Tl  0.750  0.815  0.763
Tl  0.250  0.605  0.031
Tl  0.997  0.435  0.174
Tl  0.750  0.315  0.737
Tl  0.750  0.576  0.623
Tl  0.997  0.935  0.326
Tl  0.003  0.565  0.826
Tl  0.250  0.105  0.469
Tl  0.503  0.935  0.326
Tl  0.750  0.395  0.969
Tl  0.503  0.435  0.174
Tl  0.003  0.065  0.674
Tl  0.250  0.924  0.123
Tl  0.250  0.685  0.263
Tl  0.497  0.065  0.674
Tl  0.497  0.565  0.826
Tl  0.750  0.076  0.877
Tl  0.250  0.185  0.237
Rb  0.250  0.377  0.637
Rb  0.250  0.877  0.863
Rb  0.750  0.123  0.137
Rb  0.750  0.623  0.363
Cs  0.250  0.747  0.563
Cs  0.750  0.253  0.437
Cs  0.750  0.753  0.063
Cs  0.250  0.247  0.937

Calculated values
Crystal system: orthorhombic
VASP energy in eV/atom: -2.022
Calculated formation energy in eV/atom: -0.072
Spin magnetization in μB per cell: 0.0
Symmetry: Pnma


No. 2
Entry from Alexandria via LeMat-Bulk: an optimized crystal structure of CsRb2Tl (GGA-PBE).

a = 6.974 Å, b = 6.974 Å, c = 6.974 Å
α = 60.00°, β = 60.00°, γ = 60.00°
Site moments in Bohr magnetons follow the coordinates.
Positions (direct):
Rb  0.250  0.250  0.250  0.03
Rb  0.750  0.750  0.750  0.03
Cs  0.000  0.000  0.000  0.03
Tl  0.500  0.500  0.500  0.20

Calculated values
Crystal system: cubic
VASP energy in eV/atom: -1.230
Energy above the lowest structure with this stoichiometry in meV/atom: 69
Calculated formation energy in eV/atom: 0.059
Spin magnetization in μB per cell: 1.5
Symmetry: Fm-3m


No. 3
Entry from Alexandria via LeMat-Bulk: an optimized crystal structure of Cs12RbTl6 (GGA-PBE).

a = 11.403 Å, b = 11.403 Å, c = 11.403 Å
α = 100.60°, β = 100.60°, γ = 100.60°
Positions (direct):
Cs  0.929  0.675  0.619
Cs  0.071  0.690  0.257
Cs  0.257  0.071  0.690
Cs  0.310  0.743  0.929
Cs  0.619  0.929  0.675
Cs  0.743  0.929  0.310
Cs  0.381  0.071  0.325
Cs  0.071  0.325  0.381
Cs  0.929  0.310  0.743
Cs  0.675  0.619  0.929
Cs  0.690  0.257  0.071
Cs  0.325  0.381  0.071
Tl  0.340  0.426  0.667
Tl  0.667  0.340  0.426
Tl  0.333  0.660  0.574
Tl  0.660  0.574  0.333
Tl  0.574  0.333  0.660
Tl  0.426  0.667  0.340
Rb  0.000  0.000  0.000

Calculated values
Crystal system: trigonal
VASP energy in eV/atom: -1.330
Calculated formation energy in eV/atom: 0.007
Spin magnetization in μB per cell: 0.0
Symmetry: R-3


No. 4
Entry from Alexandria via LeMat-Bulk: an optimized crystal structure of Cs2Rb5Tl (GGA-PBE).

a = 9.165 Å, b = 9.165 Å, c = 11.106 Å
α = 65.58°, β = 65.58°, γ = 89.99°
Positions (direct):
Rb  0.739  0.739  0.038
Rb  0.299  0.299  0.403
Rb  0.738  0.223  0.038
Rb  0.223  0.738  0.038
Rb  0.223  0.223  0.038
Tl  0.100  0.100  0.800
Cs  0.701  0.201  0.599
Cs  0.201  0.701  0.599

Calculated values
Crystal system: monoclinic
VASP energy in eV/atom: -1.064
Calculated formation energy in eV/atom: 0.049
Spin magnetization in μB per cell: 0.0
Symmetry: Cm


No. 5
Entry from Alexandria via LeMat-Bulk: an optimized crystal structure of Cs4Rb6Tl (GGA-PBE).

a = 12.344 Å, b = 12.344 Å, c = 12.902 Å
α = 90.00°, β = 90.00°, γ = 90.00°
Positions (direct):
Cs  0.143  0.643  0.250
Cs  0.643  0.857  0.750
Cs  0.643  0.857  0.250
Cs  0.357  0.143  0.750
Cs  0.857  0.357  0.750
Cs  0.143  0.643  0.750
Cs  0.357  0.143  0.250
Cs  0.857  0.357  0.250
Rb  0.206  0.371  0.000
Rb  0.500  0.500  0.307
Rb  0.000  0.000  0.193
Rb  0.794  0.629  0.000
Rb  0.000  0.000  0.807
Rb  0.294  0.871  0.500
Rb  0.871  0.706  0.500
Rb  0.129  0.294  0.500
Rb  0.706  0.129  0.500
Rb  0.500  0.500  0.693
Rb  0.371  0.794  0.000
Rb  0.629  0.206  0.000
Tl  0.500  0.500  0.000
Tl  0.000  0.000  0.500

Calculated values
Crystal system: tetragonal
VASP energy in eV/atom: -1.010
Calculated formation energy in eV/atom: 0.043
Spin magnetization in μB per cell: 0.0
Symmetry: P4/mnc


No. 6
Entry from Alexandria via LeMat-Bulk: an optimized crystal structure of Cs2Rb2Tl15 (GGA-PBE).

a = 8.921 Å, b = 8.921 Å, c = 8.921 Å
α = 86.60°, β = 86.60°, γ = 86.60°
Positions (direct):
Tl  0.684  0.000  0.316
Tl  0.355  0.826  0.355
Tl  0.316  0.000  0.684
Tl  0.355  0.355  0.826
Tl  0.645  0.174  0.645
Tl  0.645  0.645  0.174
Tl  0.684  0.316  0.000
Tl  0.826  0.355  0.355
Tl  0.000  0.500  0.000
Tl  0.500  0.000  0.000
Tl  0.316  0.684  0.000
Tl  0.174  0.645  0.645
Tl  0.000  0.684  0.316
Tl  0.000  0.316  0.684
Tl  0.000  0.000  0.500
Cs  0.112  0.112  0.112
Cs  0.888  0.888  0.888
Rb  0.358  0.358  0.358
Rb  0.642  0.642  0.642

Calculated values
Crystal system: trigonal
VASP energy in eV/atom: -2.067
Energy above the lowest structure with this stoichiometry in meV/atom: 22
Calculated formation energy in eV/atom: -0.007
Spin magnetization in μB per cell: 0.0
Symmetry: R-3m


No. 7
Entry from Alexandria via LeMat-Bulk: an optimized crystal structure of Cs2Rb5Tl4 (GGA-PBE).

a = 8.834 Å, b = 9.877 Å, c = 11.207 Å
α = 61.86°, β = 66.79°, γ = 63.44°
Positions (direct):
Tl  0.234  0.291  0.241
Tl  0.766  0.709  0.759
Tl  0.420  0.003  0.158
Tl  0.580  0.997  0.842
Rb  0.644  0.313  0.904
Rb  0.140  0.313  0.904
Rb  0.000  0.500  0.500
Rb  0.860  0.687  0.096
Rb  0.356  0.687  0.096
Cs  0.270  0.869  0.591
Cs  0.730  0.131  0.409

Calculated values
Crystal system: monoclinic
VASP energy in eV/atom: -1.449
Calculated formation energy in eV/atom: 0.007
Spin magnetization in μB per cell: 0.0
Symmetry: C2/m


No. 8
Entry from Alexandria via LeMat-Bulk: an optimized crystal structure of Cs2Rb4Tl (GGA-PBE).

a = 7.303 Å, b = 7.303 Å, c = 13.010 Å
α = 73.70°, β = 73.70°, γ = 90.00°
Positions (direct):
Rb  0.000  0.500  0.000
Rb  0.843  0.843  0.314
Rb  0.157  0.157  0.686
Rb  0.500  0.000  0.000
Cs  0.358  0.358  0.284
Cs  0.642  0.642  0.716
Tl  0.000  0.000  0.000

Calculated values
Crystal system: tetragonal
VASP energy in eV/atom: -1.088
Energy above the lowest structure with this stoichiometry in meV/atom: 29
Calculated formation energy in eV/atom: 0.046
Spin magnetization in μB per cell: 0.0
Symmetry: I4/mmm


No. 9
Entry from Alexandria via LeMat-Bulk: an optimized crystal structure of CsRbTl2Zn (GGA-PBE).

a = 5.651 Å, b = 5.651 Å, c = 6.778 Å
α = 90.00°, β = 90.00°, γ = 90.00°
Positions (direct):
Zn  0.000  0.000  0.000
Cs  0.000  0.000  0.500
Rb  0.500  0.500  0.500
Tl  0.500  0.000  0.000
Tl  0.000  0.500  0.000

Calculated values
Crystal system: tetragonal
VASP energy in eV/atom: -1.418
Energy above the lowest structure with this stoichiometry in meV/atom: 39
Calculated formation energy in eV/atom: 0.148
Spin magnetization in μB per cell: 0.0
Symmetry: P4/mmm


No. 10
Entry from Alexandria via LeMat-Bulk: an optimized crystal structure of CsRbTl2Zn (GGA-PBE).

a = 5.640 Å, b = 5.640 Å, c = 6.627 Å
α = 90.00°, β = 90.00°, γ = 90.00°
Positions (direct):
Tl  0.500  0.000  0.000
Tl  0.000  0.500  0.000
Zn  0.000  0.000  0.000
Rb  0.000  0.000  0.500
Cs  0.500  0.500  0.500

Calculated values
Crystal system: tetragonal
VASP energy in eV/atom: -1.457
Energy above the lowest structure with this stoichiometry in meV/atom: 0
Calculated formation energy in eV/atom: 0.108
Spin magnetization in μB per cell: 0.1
Symmetry: P4/mmm


No. 11
Entry from Alexandria via LeMat-Bulk: an optimized crystal structure of CsRbV2 (GGA-PBE).

a = 4.600 Å, b = 4.600 Å, c = 13.043 Å
α = 79.84°, β = 79.84°, γ = 90.00°
Positions (direct):
Cs  0.000  0.000  0.000
Cs  0.750  0.250  0.500
V  0.375  0.141  0.750
V  0.891  0.625  0.250
V  0.859  0.125  0.250
V  0.875  0.109  0.750
Rb  0.500  0.500  0.000
Rb  0.250  0.750  0.500

Calculated values
Crystal system: tetragonal
VASP energy in eV/atom: -3.131
Energy above the lowest structure with this stoichiometry in meV/atom: 108
Calculated formation energy in eV/atom: 1.883
Spin magnetization in μB per cell: 0.0
Symmetry: I-42d


No. 12
Entry from Alexandria via LeMat-Bulk: an optimized crystal structure of CsRb3V (GGA-PBE).

a = 7.291 Å, b = 7.291 Å, c = 7.291 Å
α = 90.00°, β = 90.00°, γ = 90.00°
Site moments in Bohr magnetons follow the coordinates.
Positions (direct):
Cs  0.500  0.500  0.500  0.01
Rb  0.000  0.000  0.500  0.03
Rb  0.500  0.000  0.000  0.03
Rb  0.000  0.500  0.000  0.03
V  0.000  0.000  0.000  3.28

Calculated values
Crystal system: cubic
VASP energy in eV/atom: -1.843
Calculated formation energy in eV/atom: 0.732
Spin magnetization in μB per cell: 5.3
Symmetry: Pm-3m


Which of these has the lowest VASP energy?
CsRbV2


What is the spin magnetization in the eleventh record?
0.0 μB per cell


Which formula does entry 12 have?
CsRb3V


Which of these has the highest VASP energy?
Cs4Rb6Tl